(1)
This record from Alexandria describes an optimized crystal structure of Zn6CuAg2. The functional is PBE.

POSCAR file:
```
Zn6CuAg2
1.0
6.600 -3.642 0.000
6.600 3.642 0.000
-0.060 0.000 2.973
Zn Cu Ag
6 1 2
Direct
0.161 0.521 0.501
0.191 0.809 0.000
0.479 0.839 0.499
0.521 0.161 0.501
0.809 0.191 0.000
0.839 0.479 0.499
0.500 0.500 0.500
0.183 0.183 0.999
0.817 0.817 0.001
```

Its energy is -1.933 eV per atom. For the energy above the most stable polymorph in this dataset, the calculation gives 0.010 eV per atom. The space-group type is C2/m, No. 12. As for the formation energy: 5 meV/atom.

(2)
This record from Alexandria describes an optimized crystal structure of Zn15Cu4Ag. The functional is PBE.

POSCAR file:
```
Zn15Cu4Ag
1.0
3.890 0.000 0.000
0.000 3.890 0.000
0.000 0.000 18.765
Zn Cu Ag
15 4 1
Direct
0.000 0.000 0.000
0.000 0.000 0.205
0.000 0.000 0.402
0.000 0.000 0.598
0.000 0.000 0.795
0.000 0.500 0.109
0.000 0.500 0.304
0.000 0.500 0.500
0.000 0.500 0.696
0.000 0.500 0.891
0.500 0.000 0.109
0.500 0.000 0.304
0.500 0.000 0.500
0.500 0.000 0.696
0.500 0.000 0.891
0.500 0.500 0.206
0.500 0.500 0.402
0.500 0.500 0.598
0.500 0.500 0.794
0.500 0.500 0.000
```

Its energy is -1.933 eV per atom. The space-group type is P4/mmm, No. 123. As for the formation energy: -16 meV/atom.

(3)
This record from Alexandria describes an optimized crystal structure of Zn5CuAg6. The functional is PBE.

POSCAR file:
```
Zn5CuAg6
1.0
-2.048 3.771 6.249
2.048 -3.771 6.249
2.048 3.771 -6.249
Zn Cu Ag
5 1 6
Direct
0.000 0.000 0.000
0.169 0.669 0.500
0.340 0.340 0.000
0.660 0.660 0.000
0.831 0.331 0.500
0.500 0.000 0.500
0.084 0.834 0.250
0.249 0.500 0.749
0.417 0.166 0.250
0.583 0.834 0.750
0.751 0.500 0.251
0.916 0.166 0.750
```

Its energy is -2.313 eV per atom. The space-group type is Immm, No. 71. As for the formation energy: -15 meV/atom.

(4)
This record from Alexandria describes an optimized crystal structure of Zn3Cu2Ag2. The functional is PBE.

POSCAR file:
```
Zn3Cu2Ag2
1.0
8.624 0.000 0.000
0.000 3.960 0.000
-0.830 0.000 6.056
Zn Cu Ag
6 4 4
Direct
0.000 0.000 0.000
0.083 0.500 0.692
0.417 0.000 0.308
0.500 0.500 0.000
0.583 0.000 0.692
0.917 0.500 0.308
0.132 0.000 0.425
0.368 0.500 0.575
0.632 0.500 0.425
0.868 0.000 0.575
0.207 0.500 0.153
0.293 0.000 0.847
0.707 0.000 0.153
0.793 0.500 0.847
```

Its energy is -2.555 eV per atom. The space-group type is C2/m, No. 12. As for the formation energy: -24 meV/atom.